# 1
Density functional theory data (PBE) for a relaxed AlSb2TeN crystal.

Formation energy (no corrections) in eV per atom: 0.649
SG: P4/mmm

Cell lengths 4.855, 4.855, 4.579 Å; angles 90.00, 90.00, 90.00 degrees
Element x y z (fractional)
Sb 0.000 0.500 0.000
Sb 0.500 0.000 0.000
Te 0.000 0.000 0.500
Al 0.500 0.500 0.500
N 0.000 0.000 0.000

=====

# 2
Density functional theory data (PBE) for a relaxed RbCd11Ga crystal.

SG: C2/m
Formation energy in kJ/mol of formula units: -22

Cell lengths 5.976, 7.902, 7.818 Å; angles 81.92, 67.53, 68.43 degrees
Element x y z (fractional)
Rb 0.000 0.000 0.000
Cd 0.284 0.224 0.219
Cd 0.716 0.776 0.781
Cd 0.498 0.776 0.219
Cd 0.502 0.224 0.781
Cd 0.360 0.642 0.647
Cd 0.640 0.358 0.353
Cd 0.993 0.358 0.647
Cd 0.007 0.642 0.353
Cd 0.000 0.500 0.000
Cd 0.500 0.000 0.500
Cd 0.000 0.000 0.500
Ga 0.500 0.500 0.000

=====

# 3
Density functional theory data (PBE) for a relaxed BeRhSe2 crystal.

Formation energy (no corrections) in eV per atom: -0.144
SG: P2/m

Cell lengths 3.610, 6.167, 5.040 Å; angles 35.74, 90.00, 90.00 degrees
Element x y z (fractional)
Be 0.500 0.500 0.500
Rh 0.000 0.000 0.500
Se 0.000 0.000 0.000
Se 0.500 0.500 0.000

=====

# 4
Density functional theory data (PBE) for a relaxed TiPb2F crystal.

Formation energy (no corrections) in eV per atom: -0.243
SG: Fm-3m

Cell lengths 4.963, 4.963, 4.963 Å; angles 60.00, 60.00, 60.00 degrees
Element x y z (fractional)
Pb 0.250 0.250 0.250
Pb 0.750 0.750 0.750
F 0.000 0.000 0.000
Ti 0.500 0.500 0.500

=====

# 5
Density functional theory data (PBE) for a relaxed Y2TaSb crystal.

Formation energy (no corrections) in eV per atom: -0.099
SG: Cm

Cell lengths 5.896, 5.896, 5.393 Å; angles 74.04, 74.04, 34.64 degrees
Element x y z (fractional)
Sb 0.529 0.529 0.517
Ta 0.221 0.221 0.233
Y 0.978 0.978 0.048
Y 0.772 0.772 0.701

=====

# 6
Density functional theory data (PBE) for a relaxed HoTmCdRu crystal.

SG: F-43m
Formation energy in kJ/mol of formula units: -123

Cell lengths 4.987, 4.987, 4.987 Å; angles 60.00, 60.00, 60.00 degrees
Element x y z (fractional)
Ru 0.750 0.750 0.750
Tm 0.000 0.000 0.000
Ho 0.500 0.500 0.500
Cd 0.250 0.250 0.250

=====

# 7
Density functional theory data (PBE) for a relaxed Ba2PuCl2O4 crystal.

Formation energy (no corrections) in eV per atom: -2.488
SG: I4/mmm

Cell lengths 6.342, 6.342, 6.342 Å; angles 93.37, 118.07, 118.07 degrees
Last column: magnetic moment on the atom in μB.
Element x y z (fractional)
Ba 0.500 0.750 0.250  0.01
Ba 0.500 0.250 0.750  0.01
Pu 0.000 0.000 0.000  2.30
Cl 0.000 0.692 0.692  -0.01
Cl 0.000 0.308 0.308  -0.01
O 0.000 0.789 0.211  -0.08
O 0.578 0.789 0.789  -0.08
O 0.000 0.211 0.789  -0.08
O 0.422 0.211 0.211  -0.08

=====

# 8
Density functional theory data (PBE) for a relaxed Bi6Te10Pb crystal.

Formation energy (no corrections) in eV per atom: -0.258
SG: R-3m

Cell lengths 4.468, 4.468, 35.685 Å; angles 86.41, 86.41, 60.00 degrees
Element x y z (fractional)
Bi 0.296 0.296 0.113
Bi 0.704 0.704 0.887
Bi 0.235 0.235 0.295
Bi 0.765 0.765 0.705
Bi 0.470 0.470 0.590
Bi 0.530 0.530 0.410
Te 0.352 0.352 0.944
Te 0.648 0.648 0.056
Te 0.054 0.054 0.839
Te 0.946 0.946 0.161
Te 0.416 0.416 0.753
Te 0.584 0.584 0.247
Te 0.117 0.117 0.648
Te 0.883 0.883 0.352
Te 0.181 0.181 0.458
Te 0.819 0.819 0.542
Pb 0.000 0.000 0.000

=====

# 9
Density functional theory data (PBE) for a relaxed Na2Mg2I7 crystal.

Formation energy (no corrections) in eV per atom: -0.903
SG: C2/m

Cell lengths 7.903, 8.504, 8.504 Å; angles 111.70, 98.17, 98.17 degrees
Last column: magnetic moment on the atom in μB.
Element x y z (fractional)
Na 0.500 0.307 0.693  0.00
Na 0.500 0.693 0.307  0.00
Mg 0.131 0.742 0.742  0.00
Mg 0.869 0.258 0.258  0.00
I 0.283 0.571 0.913  0.02
I 0.717 0.087 0.429  0.02
I 0.717 0.429 0.087  0.02
I 0.283 0.913 0.571  0.02
I 0.229 0.375 0.375  0.17
I 0.000 0.000 0.000  0.28
I 0.771 0.625 0.625  0.17

=====

# 10
Density functional theory data (PBE) for a relaxed Na2MnVTe4 crystal.

Formation energy (no corrections) in eV per atom: -0.496
SG: P2/m

Cell lengths 4.089, 7.064, 7.833 Å; angles 107.82, 90.00, 90.00 degrees
Last column: magnetic moment on the atom in μB.
Element x y z (fractional)
Na 0.500 0.000 0.500  0.00
Na 0.000 0.500 0.500  0.01
Mn 0.000 0.000 0.000  3.81
V 0.500 0.500 0.000  2.10
Te 0.500 0.235 0.201  -0.09
Te 0.500 0.765 0.799  -0.09
Te 0.000 0.270 0.796  -0.09
Te 0.000 0.730 0.204  -0.09

=====

no.,magnetization (μB per cell)
1,0.0
2,0.0
3,0.0
4,0.0
5,0.0
6,0.0
7,2.0
8,0.0
9,1.0
10,6.0